No. 1
## Li2NbI8 (GGA-PBE)

Data for a geometry-optimized Li2NbI8 structure.

```
data_Li2NbI8
_chemical_formula_sum 'Li2 Nb1 I8'
_space_group_name_H-M_alt 'P -1'
_space_group_IT_number 2
_cell_length_a 7.5338
_cell_length_b 7.8922
_cell_length_c 8.7387
_cell_angle_alpha 84.75
_cell_angle_beta 70.63
_cell_angle_gamma 68.96
loop_
_space_group_symop_operation_xyz
'x,y,z'
'-x,-y,-z'
loop_
_atom_site_label
_atom_site_type_symbol
_atom_site_fract_x
_atom_site_fract_y
_atom_site_fract_z
_atom_site_occupancy
Li1 Li 0.1341 0.3659 0.3354 1
Nb1 Nb 0.5000 0.0000 0.0000 1
I1 I 0.0363 0.2628 0.6499 1
I2 I 0.0863 0.1758 0.1046 1
I3 I 0.4569 0.7294 0.8456 1
I4 I 0.4701 0.8021 0.2811 1
```

Values from the calculation:
Magnetic moment: 0.00 μB per atom
Energy relative to the elements, uncorrected: -0.57 eV per atom
DOS at the Fermi energy: 5.80 states/eV per cell
V: 41.6 A^3/atom
Total DFT energy (no corrections): -32.6 eV per cell

***

No. 2
## LiNbIO2 (GGA-PBE)

Data for a geometry-optimized LiNbIO2 structure.

```
data_LiNbIO2
_chemical_formula_sum 'Li1 Nb1 I1 O2'
_space_group_name_H-M_alt 'P 4/m m m'
_space_group_IT_number 123
_space_group_name_Hall '-P 4 2'
_cell_length_a 3.9845
_cell_length_b 3.9845
_cell_length_c 4.4839
_cell_angle_alpha 90.00
_cell_angle_beta 90.00
_cell_angle_gamma 90.00
loop_
_atom_site_label
_atom_site_type_symbol
_atom_site_fract_x
_atom_site_fract_y
_atom_site_fract_z
_atom_site_occupancy
Li1 Li 0.0000 0.0000 0.0000 1
Nb1 Nb 0.5000 0.5000 0.5000 1
I1 I 0.0000 0.0000 0.5000 1
O1 O 0.0000 0.5000 0.0000 1
```

Values from the calculation:
Magnetic moment: 0.00 μB per atom
Energy relative to the elements, uncorrected: 0.20 eV per atom
DOS at the Fermi energy: 4.51 states/eV per cell
V: 14.2 A^3/atom
Total DFT energy (no corrections): -22.5 eV per cell
Energy above the most stable polymorph in this dataset: 1761 meV/atom

***

No. 3
## LiNbIO6 (GGA-PBE)

Data for a geometry-optimized LiNbIO6 structure.

```
data_LiNbIO6
_chemical_formula_sum 'Li2 Nb2 I2 O12'
_space_group_name_H-M_alt 'P -3 1 c'
_space_group_IT_number 163
_space_group_name_Hall '-P 3 2c'
_cell_length_a 5.3641
_cell_length_b 5.3641
_cell_length_c 9.7294
_cell_angle_alpha 90.00
_cell_angle_beta 90.00
_cell_angle_gamma 120.00
loop_
_atom_site_label
_atom_site_type_symbol
_atom_site_fract_x
_atom_site_fract_y
_atom_site_fract_z
_atom_site_occupancy
Li1 Li 0.0000 0.0000 0.0000 1
Nb1 Nb 0.3333 0.6667 0.2500 1
I1 I 0.3333 0.6667 0.7500 1
O1 O 0.0048 0.3760 0.6370 1
```

Values from the calculation:
Magnetic moment: 0.00 μB per atom
Energy relative to the elements, uncorrected: -1.33 eV per atom
DOS at the Fermi energy: 7.85 states/eV per cell
V: 13.5 A^3/atom
Total DFT energy (no corrections): -110.5 eV per cell

***

No. 4
## LiNbIO2 (GGA-PBE)

Data for a geometry-optimized LiNbIO2 structure.

```
data_LiNbIO2
_chemical_formula_sum 'Li1 Nb1 I1 O2'
_space_group_name_H-M_alt 'P 4/m m m'
_space_group_IT_number 123
_space_group_name_Hall '-P 4 2'
_cell_length_a 3.9825
_cell_length_b 3.9825
_cell_length_c 6.1701
_cell_angle_alpha 90.00
_cell_angle_beta 90.00
_cell_angle_gamma 90.00
loop_
_atom_site_label
_atom_site_type_symbol
_atom_site_fract_x
_atom_site_fract_y
_atom_site_fract_z
_atom_site_occupancy
Li1 Li 0.0000 0.0000 0.0000 1
Nb1 Nb 0.5000 0.5000 0.5000 1
I1 I 0.5000 0.5000 0.0000 1
O1 O 0.0000 0.5000 0.5000 1
```

Values from the calculation:
Magnetic moment: 0.00 μB per atom
Energy relative to the elements, uncorrected: -1.56 eV per atom
DOS at the Fermi energy: 1.27 states/eV per cell
V: 19.6 A^3/atom
Total DFT energy (no corrections): -31.3 eV per cell
Energy above the most stable polymorph in this dataset: 0 meV/atom